## NaVHg (PBE)

Data for NaVHg after structural relaxation.

abc: 2.945 5.245 8.540
angles: 72.41 88.59 82.34
Element x y z (fractional)
Na 0.044 0.191 0.118
Na 0.956 0.809 0.882
V 0.108 0.164 0.503
V 0.892 0.836 0.497
Hg 0.500 0.389 0.735
Hg 0.500 0.611 0.265

Calculated values
The space group is P-1. As for the energy above the most stable polymorph in this dataset: 0.134 eV per atom. For the density, the calculation gives 7.32 g/cm³. The calculation puts the calculated formation energy at 0.26 eV/atom. For the total energy, the calculation gives -3.32 eV per atom.

## NaVHg (PBE)

Data for NaVHg after structural relaxation.

abc: 4.789 4.789 4.789
angles: 60.00 60.00 60.00
Element x y z (fractional)
Na 0.000 0.000 0.000
V 0.500 0.500 0.500
Hg 0.250 0.250 0.250

Calculated values
The space group is F-43m. As for the energy above the most stable polymorph in this dataset: 0.600 eV per atom. For the density, the calculation gives 5.87 g/cm³. The calculation puts the calculated formation energy at 0.73 eV/atom. For the total energy, the calculation gives -2.85 eV per atom.

## NaVHg (PBE)

Data for NaVHg after structural relaxation.

abc: 5.208 5.208 6.386
angles: 90.00 90.00 90.00
Element x y z (fractional)
Na 0.250 0.250 0.142
Na 0.750 0.750 0.858
V 0.250 0.250 0.628
V 0.750 0.750 0.372
Hg 0.250 0.750 0.500
Hg 0.750 0.250 0.500

Calculated values
The space group is P4/nmm. As for the energy above the most stable polymorph in this dataset: 0.582 eV per atom. For the density, the calculation gives 5.26 g/cm³. The calculation puts the calculated formation energy at 0.71 eV/atom. For the total energy, the calculation gives -2.87 eV per atom.

## Na3VHg (PBE)

Data for Na3VHg after structural relaxation.

abc: 5.613 5.613 5.613
angles: 90.00 90.00 90.00
Element x y z (fractional)
Na 0.000 0.000 0.500
Na 0.000 0.500 0.000
Na 0.500 0.000 0.000
V 0.500 0.500 0.500
Hg 0.000 0.000 0.000

Calculated values
The space group is Pm-3m. As for the energy above the most stable polymorph in this dataset: 0.000 eV per atom. For the density, the calculation gives 3.01 g/cm³. The calculation puts the calculated formation energy at 0.76 eV/atom. For the total energy, the calculation gives -1.92 eV per atom.

## Na2HgW (PBE)

Data for Na2HgW after structural relaxation.

abc: 6.638 6.638 6.638
angles: 100.66 100.66 129.06
Element x y z (fractional)
Na 0.105 0.125 0.480
Na 0.375 0.895 0.020
Na 0.645 0.625 0.520
Na 0.875 0.355 0.980
Hg 0.000 0.000 0.000
Hg 0.750 0.250 0.500
W 0.250 0.750 0.500
W 0.500 0.500 0.000

Calculated values
The space group is I-42d. For the density, the calculation gives 6.97 g/cm³. The calculation puts the calculated formation energy at 1.23 eV/atom. For the total energy, the calculation gives -2.74 eV per atom.

## NaHg3W (PBE)

Data for NaHg3W after structural relaxation.

abc: 5.355 5.355 5.355
angles: 90.00 90.00 90.00
Element x y z (fractional)
Na 0.000 0.000 0.000
Hg 0.000 0.500 0.500
Hg 0.500 0.000 0.500
Hg 0.500 0.500 0.000
W 0.500 0.500 0.500

Calculated values
The space group is Pm-3m. As for the energy above the most stable polymorph in this dataset: 0.000 eV per atom. For the density, the calculation gives 8.74 g/cm³. The calculation puts the calculated formation energy at 0.71 eV/atom. For the total energy, the calculation gives -2.33 eV per atom.

## NaZrHgW2 (PBE)

Data for NaZrHgW2 after structural relaxation.

abc: 4.864 4.864 5.377
angles: 90.00 90.00 90.00
Element x y z (fractional)
Na 0.000 0.000 0.000
Zr 0.000 0.000 0.500
Hg 0.500 0.500 0.000
W 0.000 0.500 0.500
W 0.500 0.000 0.500

Calculated values
The space group is P4/mmm. As for the energy above the most stable polymorph in this dataset: 0.025 eV per atom. For the density, the calculation gives 8.91 g/cm³. The calculation puts the calculated formation energy at 2.08 eV/atom. For the total energy, the calculation gives -5.13 eV per atom.

## NaZrHgW2 (PBE)

Data for NaZrHgW2 after structural relaxation.

abc: 5.059 5.059 4.681
angles: 90.00 90.00 90.00
Element x y z (fractional)
Na 0.000 0.000 0.000
Zr 0.500 0.500 0.000
Hg 0.000 0.000 0.500
W 0.000 0.500 0.500
W 0.500 0.000 0.500

Calculated values
The space group is P4/mmm. As for the energy above the most stable polymorph in this dataset: 0.000 eV per atom. For the density, the calculation gives 9.46 g/cm³. The calculation puts the calculated formation energy at 2.06 eV/atom. For the total energy, the calculation gives -5.16 eV per atom.